Record 1
This record from Alexandria describes a geometry-optimized NbHg2Pb structure. The functional is GGA-PBE.

Cell lengths 11.8045, 11.8045, 11.8045 Å; angles 15.42, 15.42, 15.42 degrees
Sites, in units of the cell vectors:
Nb 0.0000 0.0000 0.0000
Hg 0.0819 0.0819 0.0819
Hg 0.9181 0.9181 0.9181
Pb 0.5000 0.5000 0.5000

Computed properties:
ΔH_f (0 K), meV per atom: 569

Record 2
This record from Alexandria describes a geometry-optimized TlNi4Rh structure. The functional is GGA-PBE.

Cell lengths 4.8191, 4.8191, 4.8191 Å; angles 60.00, 60.00, 60.00 degrees
Sites, in units of the cell vectors:
Tl 0.0000 0.0000 0.0000
Ni 0.1277 0.6241 0.6241
Ni 0.6241 0.1277 0.6241
Ni 0.6241 0.6241 0.1277
Ni 0.6241 0.6241 0.6241
Rh 0.2500 0.2500 0.2500

Computed properties:
ΔH_f (0 K), meV per atom: 176

Record 3
This record from Alexandria describes a geometry-optimized V2Ni3Ru structure. The functional is GGA-PBE.

Cell lengths 6.6006, 6.6006, 5.1518 Å; angles 90.00, 90.00, 42.42 degrees
Sites, in units of the cell vectors:
V 0.1464 0.1464 0.0000
V 0.1464 0.1464 0.5000
V 0.8536 0.8536 0.0000
V 0.8536 0.8536 0.5000
Ni 0.2437 0.7563 0.7500
Ni 0.2969 0.3364 0.7500
Ni 0.3364 0.2969 0.2500
Ni 0.6636 0.7031 0.7500
Ni 0.7031 0.6636 0.2500
Ni 0.7563 0.2437 0.2500
Ru 0.2736 0.7264 0.2500
Ru 0.7264 0.2736 0.7500

Computed properties:
ΔH_f (0 K), meV per atom: 3

Record 4
This record from Alexandria describes a geometry-optimized GdThIrRh structure. The functional is GGA-PBE.

Cell lengths 4.9807, 4.9807, 4.9807 Å; angles 60.00, 60.00, 60.00 degrees
Sites, in units of the cell vectors:
Gd 0.0000 0.0000 0.0000
Th 0.5000 0.5000 0.5000
Ir 0.7500 0.7500 0.7500
Rh 0.2500 0.2500 0.2500

Computed properties:
ΔH_f (0 K), meV per atom: -786

Record 5
This record from Alexandria describes a geometry-optimized VFeRh4 structure. The functional is GGA-PBE.

Cell lengths 4.0452, 4.0452, 5.6891 Å; angles 90.00, 90.00, 90.00 degrees
Sites, in units of the cell vectors:
V 0.0000 0.0000 0.0000
Fe 0.5000 0.5000 0.5000
Rh 0.0000 0.5000 0.2486
Rh 0.0000 0.5000 0.7514
Rh 0.5000 0.0000 0.2486
Rh 0.5000 0.0000 0.7514

Computed properties:
ΔH_f (0 K), meV per atom: 88

Record 6
This record from Alexandria describes a geometry-optimized CaTaAs2Se structure. The functional is GGA-PBE.

Cell lengths 5.0065, 5.0065, 5.1317 Å; angles 90.00, 90.00, 90.00 degrees
Sites, in units of the cell vectors:
Ca 0.0000 0.0000 0.0000
Ta 0.5000 0.5000 0.5000
As 0.0000 0.5000 0.5000
As 0.5000 0.0000 0.5000
Se 0.5000 0.5000 0.0000

Computed properties:
ΔE_f (raw), eV/f.u.: -2.266

Q: What is the formula in the second record?
A: TlNi4Rh